{"formula": "CsCaMgIn2", "functional": "PBE", "state": "optimized geometry", "sg": "P4/mmm (123)", "crystal_system": "tetragonal", "e_tot_ev_per_atom": -1.677, "magnetic_moment_mub_per_cell": 0.000, "lattice": [[5.6302, 0.0000, 0.0000], [0.0000, 5.6302, 0.0000], [0.0000, 0.0000, 6.2039]], "species": ["Cs", "Ca", "Mg", "In", "In"], "fractional_positions": [[0.0000, 0.0000, 0.0000], [0.5000, 0.5000, 0.0000], [0.0000, 0.0000, 0.5000], [0.0000, 0.5000, 0.5000], [0.5000, 0.0000, 0.5000]]}